[1]
An optimized crystal structure of SiTcAuN2. Source: the Alexandria database, functional PBE.

Lattice parameters (Å, degrees): 3.6498 5.2347 3.6498 90.00 90.00 90.00
Site moments in Bohr magnetons follow the coordinates.
Fractional coordinates of all 5 atoms:
1 Tc 0.0000 0.5000 0.0000  2.31
2 Si 0.0000 0.0000 0.0000  -0.02
3 N 0.5000 0.0000 0.0000  0.13
4 Au 0.5000 0.5000 0.5000  0.17
5 N 0.0000 0.0000 0.5000  0.17

Output
**D(E_F)**: 3.34 states/eV per cell
**Energy relative to the elements, uncorrected**: 6.20 eV per formula unit
**Calculated total energy**: -5.90 eV per atom
**Magnetic moment**: 0.62 μB/atom
**Space group**: P4/mmm (123)


[2]
An optimized crystal structure of EuLuCdHg. Source: the Alexandria database, functional PBE.

Lattice parameters (Å, degrees): 5.3431 5.3431 5.3431 60.00 60.00 60.00
Site moments in Bohr magnetons follow the coordinates.
Fractional coordinates of all 4 atoms:
1 Cd 0.7500 0.7500 0.7500  0.00
2 Hg 0.2500 0.2500 0.2500  -0.01
3 Eu 0.5000 0.5000 0.5000  -6.82
4 Lu 0.0000 0.0000 0.0000  0.00

Output
**D(E_F)**: 8.16 states/eV per cell
**Calculated total energy**: -4.38 eV per atom
**E_form**: -1.5 eV/f.u.
**Magnetic moment**: 1.76 μB/atom
**Space group**: F-43m (216)


> The highest magnetic moment belongs to which entry?

EuLuCdHg


> magnetic moment of number 1 (SiTcAuN2)?

0.62 μB/atom